# 1
This record from Alexandria describes a relaxed KRbS3 crystal. The functional is PBE.

The formation energy (no corrections) comes out at 0.42 eV per atom. The calculated density is 1.68 g/cm³. As for the total DFT energy (no corrections): -0.0908 Ha/atom. For the density of states at the Fermi level, the calculation gives 8.9 states/eV/f.u.

The structure belongs to space group Pm-3m (No. 221); the cell edges are 6.024, 6.024 and 6.024 Å and the angles 90.00°, 90.00° and 90.00°. The distinct sites, in fractional coordinates, are K at (0.000, 0.000, 0.000), Rb at (0.500, 0.500, 0.500) and S at (0.000, 0.500, 0.500).

---

# 2
This record from Alexandria describes a relaxed KRb2S crystal. The functional is PBE.

The formation energy (no corrections) comes out at -0.64 eV per atom. The calculated density is 1.70 g/cm³. As for the total DFT energy (no corrections): -0.0892 Ha/atom. For the density of states at the Fermi level, the calculation gives 2.0 states/eV/f.u.

The structure belongs to space group I-42d (No. 122); the cell edges are 12.419, 12.419 and 6.138 Å and the angles 90.00°, 90.00° and 90.00°. The distinct sites, in fractional coordinates, are K at (0.000, 0.000, 0.000), Rb at (0.070, 0.750, 0.625) and S at (0.000, 0.000, 0.500).

---

# 3
This record from Alexandria describes a relaxed K3RbS8 crystal. The functional is PBE.

The formation energy (no corrections) comes out at -0.54 eV per atom. The calculated density is 2.01 g/cm³. As for the total DFT energy (no corrections): -0.1339 Ha/atom. For the density of states at the Fermi level, the calculation gives 12.3 states/eV/f.u.

The structure belongs to space group I4/mmm (No. 139); the cell edges are 8.815, 8.815 and 9.748 Å and the angles 90.00°, 90.00° and 90.00°. The distinct sites, in fractional coordinates, are K at (0.000, 0.000, 0.000), K at (0.000, 0.500, 0.250), Rb at (0.000, 0.000, 0.500) and S at (0.244, 0.244, 0.147).

---

Which formula does entry 3 have?
K3RbS8

---

The lowest formation energy (no corrections) belongs to which entry?
KRb2S